(1)
# SrTmIO6 | Alexandria via LeMat-Bulk | PBE-GGA | relaxed
# ΔE_f (raw) ... -1.95 eV/atom
data_SrTmIO6
_chemical_formula_sum 'Sr2 Tm2 I2 O12'
_cell_length_a 5.5870
_cell_length_b 5.5870
_cell_length_c 10.3794
_cell_angle_alpha 90.00
_cell_angle_beta 90.00
_cell_angle_gamma 120.00
_space_group_name_H-M_alt 'P -3 1 c'
_space_group_IT_number 163
_space_group_name_Hall '-P 3 2c'
loop_
_atom_site_label
_atom_site_type_symbol
_atom_site_fract_x
_atom_site_fract_y
_atom_site_fract_z
_atom_site_occupancy
Sr1 Sr 0.0000 0.0000 0.0000 1
Tm1 Tm 0.3333 0.6667 0.2500 1
I1 I 0.3333 0.6667 0.7500 1
O1 O 0.0438 0.3945 0.6455 1

---

(2)
# TbNd4Tl | Alexandria via LeMat-Bulk | PBE-GGA | relaxed
# Energy relative to the elements ... 0.05 eV/f.u.
data_TbNd4Tl
_chemical_formula_sum 'Tb4 Nd16 Tl4'
_cell_length_a 5.7248
_cell_length_b 21.5434
_cell_length_c 6.5594
_cell_angle_alpha 90.00
_cell_angle_beta 90.00
_cell_angle_gamma 90.00
_space_group_name_H-M_alt 'C m c 21'
_space_group_IT_number 36
_space_group_name_Hall 'C 2c -2'
loop_
_atom_site_label
_atom_site_type_symbol
_atom_site_fract_x
_atom_site_fract_y
_atom_site_fract_z
_atom_site_occupancy
Tb1 Tb 0.0000 0.1365 0.0000 1
Nd1 Nd 0.0000 0.0631 0.4885 1
Nd2 Nd 0.0000 0.2513 0.6150 1
Nd3 Nd 0.0000 0.3132 0.1478 1
Nd4 Nd 0.0000 0.4570 0.3078 1
Tl1 Tl 0.0000 0.3959 0.7487 1